Record 1
Entry from Alexandria: a crystal of Cr2FeB2 relaxed with PBEsol (meta-GGA SCAN).

Values from the calculation:
For the energy of formation, the calculation gives -200 kJ/mol of formula units. The value obtained for the volume is 85.0 Å³ per cell. For the final energy, the calculation gives -71.833 eV/f.u.

a b c (Å): 5.4036 5.4036 2.9107
angles (deg): 90.00 90.00 90.00
Last column: nearest neighbours and their distance in Å.
Space group P4/mbm (No. 127)
Unique sites:
Cr: 0.1744 0.3256 0.0000 x4  6 B 2.16-2.17
Fe: 0.0000 0.0000 0.5000 x2  4 B 2.16
B: 0.1174 0.6174 0.5000 x4  1 B 1.79

Record 2
Entry from Alexandria: a crystal of Cr2FeGeB relaxed with PBEsol (meta-GGA SCAN).

Values from the calculation:
For the energy of formation, the calculation gives 31 kJ/mol of formula units. The value obtained for the volume is 57.2 Å³ per cell. For the final energy, the calculation gives -81.095 eV/f.u.

a b c (Å): 3.9217 3.9217 3.7191
angles (deg): 90.00 90.00 90.00
Last column: nearest neighbours and their distance in Å.
Space group P4/mmm (No. 123)
Unique sites:
Cr: 0.0000 0.5000 0.0000 x2  2 B 1.96
Fe: 0.0000 0.0000 0.5000 x1  2 B 1.86
Ge: 0.5000 0.5000 0.5000 x1  8 Cr 2.70, 4 Fe 2.77
B: 0.0000 0.0000 0.0000 x1  2 Fe 1.86, 4 Cr 1.96

Record 3
Entry from Alexandria: a crystal of CrFeB2Mo relaxed with PBEsol (meta-GGA SCAN).

Values from the calculation:
For the energy of formation, the calculation gives 706 kJ/mol of formula units. The value obtained for the volume is 71.6 Å³ per cell. For the final energy, the calculation gives -78.943 eV/f.u.

a b c (Å): 4.0683 4.0683 4.3275
angles (deg): 90.00 90.00 90.00
Last column: nearest neighbours and their distance in Å.
Space group P4/mmm (No. 123)
Unique sites:
Cr: 0.0000 0.0000 0.0000 x1  4 Fe 2.88, 8 B 2.97
Fe: 0.5000 0.5000 0.0000 x1  2 Mo 2.16
B: 0.0000 0.5000 0.5000 x2  2 Mo 2.03
Mo: 0.5000 0.5000 0.5000 x1  4 B 2.03, 2 Fe 2.16

Record 4
Entry from Alexandria: a crystal of Ti2CrFeB relaxed with PBEsol (meta-GGA SCAN).

Values from the calculation:
For the energy of formation, the calculation gives 635 kJ/mol of formula units. The value obtained for the volume is 75.5 Å³ per cell. For the final energy, the calculation gives -69.420 eV/f.u.

a b c (Å): 4.3745 4.3745 3.9449
angles (deg): 90.00 90.00 90.00
Last column: nearest neighbours and their distance in Å.
Space group P4/mmm (No. 123)
Unique sites:
Ti: 0.0000 0.5000 0.0000 x2  2 Cr 2.19
Cr: 0.0000 0.0000 0.0000 x1  2 Fe 1.97, 4 Ti 2.19
Fe: 0.0000 0.0000 0.5000 x1  2 Cr 1.97
B: 0.5000 0.5000 0.5000 x1  8 Ti 2.95, 4 Fe 3.09

Record 5
Entry from Alexandria: a crystal of CrGaB2Ru relaxed with PBEsol (meta-GGA SCAN).

Values from the calculation:
For the energy of formation, the calculation gives 824 kJ/mol of formula units. The value obtained for the volume is 70.2 Å³ per cell. For the final energy, the calculation gives -75.878 eV/f.u.

a b c (Å): 3.8912 3.8912 4.6384
angles (deg): 90.00 90.00 90.00
Last column: nearest neighbours and their distance in Å.
Space group P4/mmm (No. 123)
Unique sites:
Cr: 0.0000 0.0000 0.0000 x1  4 Ru 2.75, 8 B 3.03
Ga: 0.5000 0.5000 0.5000 x1  4 B 1.95
B: 0.0000 0.5000 0.5000 x2  2 Ga 1.95
Ru: 0.5000 0.5000 0.0000 x1  2 Ga 2.32

Record 6
Entry from Alexandria: a crystal of TaCr2GaB relaxed with PBEsol (meta-GGA SCAN).

Values from the calculation:
For the energy of formation, the calculation gives 879 kJ/mol of formula units. The value obtained for the volume is 88.8 Å³ per cell. For the final energy, the calculation gives -118.015 eV/f.u.

a b c (Å): 4.3290 4.3290 4.7377
angles (deg): 90.00 90.00 90.00
Last column: nearest neighbours and their distance in Å.
Space group P4/mmm (No. 123)
Unique sites:
Ta: 0.0000 0.0000 0.0000 x1  2 Ga 2.37
Cr: 0.0000 0.5000 0.5000 x2  2 Ga 2.16
Ga: 0.0000 0.0000 0.5000 x1  4 Cr 2.16, 2 Ta 2.37
B: 0.5000 0.5000 0.0000 x1  4 Ta 3.06, 8 Cr 3.21

Record 7
Entry from Alexandria: a crystal of CrB3H relaxed with PBEsol (meta-GGA SCAN).

Values from the calculation:
The value obtained for the volume is 30.6 Å³ per cell. For the final energy, the calculation gives -39.965 eV/f.u.

a b c (Å): 3.1288 3.1288 3.1288
angles (deg): 90.00 90.00 90.00
Last column: nearest neighbours and their distance in Å.
Space group Pm-3m (No. 221)
Unique sites:
Cr: 0.0000 0.0000 0.0000 x1  12 B 2.21
B: 0.0000 0.5000 0.5000 x3  2 H 1.56
H: 0.5000 0.5000 0.5000 x1  6 B 1.56

Record 8
Entry from Alexandria: a crystal of CrBH2 relaxed with PBEsol (meta-GGA SCAN).

Values from the calculation:
The value obtained for the volume is 86.9 Å³ per cell. For the final energy, the calculation gives -30.189 eV/f.u.

a b c (Å): 4.4288 4.4288 4.4288
angles (deg): 90.00 90.00 90.00
Last column: nearest neighbours and their distance in Å.
Space group Fm-3m (No. 225)
Unique sites:
Cr: 0.0000 0.0000 0.0000 x4  8 H 1.92
B: 0.0000 0.0000 0.5000 x4  8 H 1.92
H: 0.2500 0.2500 0.2500 x8  4 Cr 1.92, 4 B 1.92